# 1
## Ac2Nd5Tm3 (GGA-PBE)

Data for Ac2Nd5Tm3 after structural relaxation.

a b c (Å): 10.244 14.939 10.253
angles (deg): 90.00 109.68 90.00
Space group C2/c (No. 15)
Symmetry-distinct sites (fractional):
Ac (0.250, 0.112, 0.003)
Nd (0.000, 0.034, 0.250)
Nd (0.000, 0.251, 0.250)
Nd (0.000, 0.471, 0.250)
Nd (0.154, 0.127, 0.596)
Tm (0.000, 0.256, 0.750)
Tm (0.157, 0.378, 0.593)

Computed properties:
Total moment = 0.00 μB per formula unit
Total energy = -4.36 eV/atom
E_form = 0.19 eV per atom

=====

# 2
## Ac4Nd8Tm (GGA-PBE)

Data for Ac4Nd8Tm after structural relaxation.

a b c (Å): 8.193 8.193 8.193
angles (deg): 90.00 90.00 90.00
Space group Pm-3m (No. 221)
Symmetry-distinct sites (fractional):
Ac (0.000, 0.000, 0.000)
Ac (0.000, 0.500, 0.500)
Nd (0.243, 0.243, 0.243)
Tm (0.500, 0.500, 0.500)

Computed properties:
Total moment = 0.00 μB per formula unit
Total energy = -4.03 eV/atom
E_form = 0.51 eV per atom

=====

# 3
## AcNd5Tm3 (GGA-PBE)

Data for AcNd5Tm3 after structural relaxation.

a b c (Å): 15.393 10.105 9.157
angles (deg): 90.00 119.72 90.00
Space group C2/c (No. 15)
Symmetry-distinct sites (fractional):
Ac (0.000, 0.097, 0.250)
Nd (0.000, 0.441, 0.250)
Nd (0.164, 0.109, 0.069)
Nd (0.178, 0.431, 0.105)
Tm (0.084, 0.254, 0.663)
Tm (0.250, 0.250, 0.500)

Computed properties:
Total moment = 0.00 μB per formula unit
Total energy = -4.52 eV/atom
E_form = 0.08 eV per atom

=====

# 4
## Ac2NdTm (GGA-PBE)

Data for Ac2NdTm after structural relaxation.

a b c (Å): 8.518 8.518 8.518
angles (deg): 90.00 90.00 90.00
Space group Fm-3m (No. 225)
Symmetry-distinct sites (fractional):
Ac (0.250, 0.250, 0.250)
Nd (0.000, 0.000, 0.000)
Tm (0.000, 0.000, 0.500)

Computed properties:
Distance to the lowest polymorph of the same formula = 0.067 eV per atom
Total moment = 0.00 μB per formula unit
Total energy = -4.26 eV/atom
E_form = 0.11 eV per atom

=====

# 5
## Ac3Nd8Tm (GGA-PBE)

Data for Ac3Nd8Tm after structural relaxation.

a b c (Å): 6.766 11.789 11.889
angles (deg): 90.00 90.00 90.00
Space group Immm (No. 71)
Symmetry-distinct sites (fractional):
Ac (0.000, 0.000, 0.000)
Ac (0.000, 0.243, 0.500)
Nd (0.000, 0.255, 0.170)
Nd (0.237, 0.000, 0.268)
Tm (0.000, 0.500, 0.000)

Computed properties:
Total moment = 0.00 μB per formula unit
Total energy = -4.35 eV/atom
E_form = 0.23 eV per atom

=====

# 6
## AcNdTm3 (GGA-PBE)

Data for AcNdTm3 after structural relaxation.

a b c (Å): 9.402 6.386 12.460
angles (deg): 90.00 114.29 90.00
Space group P2_1/c (No. 14)
Symmetry-distinct sites (fractional):
Ac (0.155, 0.173, 0.102)
Nd (0.261, 0.665, 0.002)
Tm (0.052, 0.666, 0.205)
Tm (0.355, 0.162, 0.902)
Tm (0.446, 0.673, 0.799)

Computed properties:
Distance to the lowest polymorph of the same formula = 0.000 eV per atom
Total moment = 0.00 μB per formula unit
Total energy = -4.41 eV/atom
E_form = 0.05 eV per atom

=====

# 7
## AcNd5Tm2 (GGA-PBE)

Data for AcNd5Tm2 after structural relaxation.

a b c (Å): 7.342 14.684 5.171
angles (deg): 90.00 90.00 90.00
Space group Pbam (No. 55)
Symmetry-distinct sites (fractional):
Ac (0.000, 0.000, 0.000)
Nd (0.000, 0.500, 0.000)
Nd (0.002, 0.252, 0.000)
Nd (0.246, 0.627, 0.500)
Tm (0.249, 0.373, 0.500)

Computed properties:
Total moment = 0.00 μB per formula unit
Total energy = -4.59 eV/atom
E_form = 0.02 eV per atom

=====

# 8
## Ac2Nd5Tm (GGA-PBE)

Data for Ac2Nd5Tm after structural relaxation.

a b c (Å): 7.454 14.951 5.267
angles (deg): 90.00 90.00 90.00
Space group Pbam (No. 55)
Symmetry-distinct sites (fractional):
Ac (0.247, 0.124, 0.000)
Nd (0.000, 0.500, 0.500)
Nd (0.003, 0.752, 0.500)
Nd (0.248, 0.376, 0.000)
Tm (0.000, 0.000, 0.500)

Computed properties:
Distance to the lowest polymorph of the same formula = 0.000 eV per atom
Total moment = 0.00 μB per formula unit
Total energy = -4.54 eV/atom
E_form = 0.03 eV per atom